The following is a GGA-PBE calculation of a geometry-optimized Ca2TlS structure, from Alexandria via LeMat-Bulk.

Values from the calculation:
Size of the total moment: 0.001 μB/cell
Electronic total energy: -3.536 eV per atom
Energy above the most stable polymorph in this dataset: 0.0000 eV per atom
Space group: R-3m (166)
Formation energy without anion corrections: -3.65 eV/f.u.

a b c (Å): 9.9636 9.9636 9.9636
angles (deg): 22.44 22.44 22.44
Closest atoms and distances in Å follow each position.
Sites, in units of the cell vectors:
Ca: 0.1090 0.1090 0.1090  3 S 2.80
Ca: 0.8910 0.8910 0.8910  3 S 2.80
Tl: 0.0000 0.0000 0.0000  2 Ca 3.17
S: 0.5000 0.5000 0.5000  6 Ca 2.80